GaH20C2S2NO14 | PBE | relaxed

a = 6.4929 Å, b = 10.4556 Å, c = 11.9230 Å
α = 90.00°, β = 99.21°, γ = 90.00°
Fractional positions:
Ga: 0.7467 0.4945 0.2563
Ga: 0.2533 0.9945 0.7437
H: 0.4939 0.0441 0.2478
H: 0.9658 0.6566 0.1567
H: 0.4666 0.8302 0.6490
H: 0.6085 0.3081 0.1087
H: 0.1133 0.1808 0.6032
H: 0.9523 0.0518 0.3103
H: 0.9438 0.0150 0.8644
H: 0.1400 0.9318 0.3653
H: 0.5669 0.6451 0.0829
H: 0.3915 0.8081 0.8913
H: 0.0855 0.4609 0.4051
H: 0.5061 0.5441 0.7522
H: 0.6261 0.6893 0.3702
H: 0.4213 0.9574 0.1167
H: 0.0342 0.1566 0.8433
H: 0.9145 0.9609 0.5949
H: 0.4371 0.4716 0.3733
H: 0.8600 0.4318 0.6347
H: 0.0477 0.5518 0.6897
H: 0.9312 0.3401 0.4222
H: 0.2171 0.0967 0.3633
H: 0.9231 0.4330 0.8385
H: 0.5787 0.4574 0.8833
H: 0.8600 0.5896 0.8422
H: 0.5334 0.3302 0.3510
H: 0.4247 0.8784 0.2509
H: 0.1352 0.7993 0.8643
H: 0.8648 0.2993 0.1357
H: 0.5894 0.0274 0.8988
H: 0.1400 0.0896 0.1578
H: 0.0769 0.9330 0.1615
H: 0.4106 0.5274 0.1012
H: 0.3739 0.1893 0.6298
H: 0.5753 0.3784 0.7491
H: 0.0688 0.8401 0.5778
H: 0.5629 0.9716 0.6267
H: 0.8867 0.6808 0.3968
H: 0.7829 0.5967 0.6367
H: 0.0562 0.5150 0.1356
H: 0.4331 0.1451 0.9171
C: 0.8838 0.5225 0.6809
C: 0.6054 0.4686 0.7954
C: 0.3946 0.9686 0.2046
C: 0.1162 0.0225 0.3191
S: 0.3112 0.6743 0.4866
S: 0.1839 0.3114 0.0148
S: 0.6888 0.1743 0.5134
S: 0.8161 0.8114 0.9852
N: 0.8280 0.5046 0.7965
N: 0.1720 0.0046 0.2035
O: 0.7063 0.0341 0.5403
O: 0.4304 0.6913 0.6030
O: 0.2637 0.8340 0.8377
O: 0.9632 0.4081 0.3675
O: 0.1975 0.4502 0.0454
O: 0.5833 0.2410 0.5982
O: 0.0953 0.7283 0.4833
O: 0.4676 0.0795 0.8620
O: 0.6024 0.7574 0.9828
O: 0.9365 0.7987 0.1023
O: 0.7572 0.6561 0.3428
O: 0.4167 0.7410 0.4018
O: 0.5324 0.5795 0.1380
O: 0.2937 0.5341 0.4597
O: 0.9816 0.5666 0.1874
O: 0.8025 0.9502 0.9546
O: 0.9246 0.7410 0.9027
O: 0.0754 0.2410 0.0973
O: 0.0368 0.9081 0.6325
O: 0.5696 0.1913 0.3970
O: 0.9047 0.2283 0.5167
O: 0.4887 0.9211 0.6804
O: 0.3976 0.2574 0.0172
O: 0.0635 0.2987 0.8977
O: 0.7363 0.3340 0.1623
O: 0.0184 0.0666 0.8126
O: 0.2428 0.1561 0.6572
O: 0.5113 0.4211 0.3196



GaH20C2S2NO14 | PBE | relaxed

a = 6.4990 Å, b = 10.4732 Å, c = 11.8977 Å
α = 90.00°, β = 99.23°, γ = 90.00°
Fractional positions:
Ga: 0.9952 0.2507 0.5006
Ga: 0.4952 0.7493 0.0006
H: 0.7402 0.7998 0.4944
H: 0.3559 0.9363 0.8569
H: 0.8041 0.7283 0.8812
H: 0.2402 0.2002 0.9944
H: 0.7128 0.5866 0.9036
H: 0.8339 0.7834 0.1526
H: 0.1589 0.7171 0.8488
H: 0.8559 0.0637 0.3569
H: 0.8880 0.3112 0.1137
H: 0.8219 0.3104 0.9096
H: 0.9649 0.1467 0.1114
H: 0.7001 0.1916 0.0589
H: 0.3754 0.5551 0.1183
H: 0.6653 0.7133 0.3634
H: 0.2128 0.4134 0.4036
H: 0.3041 0.2717 0.3812
H: 0.3129 0.5970 0.8314
H: 0.3880 0.6888 0.6137
H: 0.1698 0.3655 0.9977
H: 0.3339 0.2166 0.6526
H: 0.4649 0.8533 0.6114
H: 0.1339 0.4357 0.6456
H: 0.1653 0.2867 0.8634
H: 0.8857 0.1537 0.9055
H: 0.6774 0.9013 0.1711
H: 0.6141 0.9442 0.8832
H: 0.1774 0.0987 0.6711
H: 0.1859 0.7724 0.1194
H: 0.8129 0.4030 0.3314
H: 0.8754 0.4449 0.6183
H: 0.6859 0.2276 0.6194
H: 0.3857 0.8463 0.4055
H: 0.6698 0.6345 0.4977
H: 0.3219 0.6896 0.4096
H: 0.2001 0.8084 0.5589
H: 0.7818 0.0868 0.5980
H: 0.6339 0.5643 0.1456
H: 0.1141 0.0558 0.3832
H: 0.2818 0.9132 0.0980
H: 0.6589 0.2829 0.3488
C: 0.1396 0.2754 0.9515
C: 0.6396 0.7246 0.4515
C: 0.8637 0.2208 0.0673
C: 0.3637 0.7792 0.5673
S: 0.9337 0.9334 0.7648
S: 0.5597 0.4295 0.7364
S: 0.0597 0.5705 0.2364
S: 0.4337 0.0666 0.2648
N: 0.4179 0.7612 0.4513
N: 0.9179 0.2388 0.9513
O: 0.2610 0.8229 0.0666
O: 0.8227 0.0027 0.8478
O: 0.7106 0.8350 0.1157
O: 0.4499 0.2047 0.2963
O: 0.7303 0.6769 0.9341
O: 0.2106 0.1650 0.6157
O: 0.6479 0.0112 0.2702
O: 0.6809 0.4441 0.8541
O: 0.2303 0.3231 0.4341
O: 0.8452 0.5176 0.2356
O: 0.8161 0.9478 0.6481
O: 0.9499 0.7953 0.7963
O: 0.7610 0.1771 0.5666
O: 0.1652 0.5018 0.1532
O: 0.5451 0.2894 0.7094
O: 0.0451 0.7106 0.2094
O: 0.5055 0.5890 0.0915
O: 0.3227 0.9973 0.3478
O: 0.3452 0.4824 0.7356
O: 0.4850 0.9097 0.9099
O: 0.3160 0.0522 0.1481
O: 0.7795 0.3363 0.3861
O: 0.6652 0.4982 0.6532
O: 0.2795 0.6637 0.8861
O: 0.9850 0.0903 0.4099
O: 0.1809 0.5559 0.3541
O: 0.0055 0.4110 0.5915
O: 0.1479 0.9888 0.7702



Number 1: VASP energy -5.35 eV/atom, density 1.7 g/cm³. Number 2: VASP energy -5.35 eV/atom, density 1.7 g/cm³.